Version A
KSF3: relaxed, PBE.

POSCAR file:
```
KSF3
1.0
4.329 0.000 0.000
0.000 4.329 0.000
0.000 0.000 4.329
K S F
1 1 3
Direct
0.000 0.000 0.000 K
0.500 0.500 0.500 S
0.000 0.500 0.500 F
0.500 0.000 0.500 F
0.500 0.500 0.000 F
```

Version B
KSF3: relaxed, PBE.

POSCAR file:
```
KSF3
1.0
4.833 0.000 0.000
0.000 4.833 0.000
0.000 0.000 4.833
K S F
1 1 3
Direct
0.000 0.000 0.000 K
0.500 0.500 0.500 S
0.000 0.000 0.500 F
0.000 0.500 0.000 F
0.500 0.000 0.000 F
```

It is version B that is the least stable of them.

Version A
KZrS2F: relaxed, PBE.

POSCAR file:
```
KZrS2F
1.0
5.077 0.000 0.000
0.000 5.077 0.000
0.000 0.000 4.297
K Zr S F
1 1 2 1
Direct
0.000 0.000 0.000 K
0.500 0.500 0.500 Zr
0.000 0.500 0.500 S
0.500 0.000 0.500 S
0.500 0.500 0.000 F
```

Version B
KZrS2F: relaxed, PBE.

POSCAR file:
```
KZrS2F
1.0
7.735 0.000 0.000
0.000 3.747 0.000
-2.673 0.000 8.294
K Zr S F
2 2 4 2
Direct
0.202 0.250 0.302 K
0.798 0.750 0.698 K
0.328 0.250 0.823 Zr
0.672 0.750 0.177 Zr
0.321 0.750 0.035 S
0.347 0.750 0.634 S
0.653 0.250 0.366 S
0.679 0.250 0.965 S
0.051 0.250 0.760 F
0.949 0.750 0.240 F
```

It is version A that is the least stable of them.

Version A
KSb3F: relaxed, PBE.

POSCAR file:
```
KSb3F
1.0
5.920 0.000 0.000
0.000 5.920 0.000
0.000 0.000 5.920
K Sb F
1 3 1
Direct
0.000 0.000 0.000 K
0.000 0.000 0.500 Sb
0.000 0.500 0.000 Sb
0.500 0.000 0.000 Sb
0.500 0.500 0.500 F
```

Version B
KSb3F: relaxed, PBE.

POSCAR file:
```
KSb3F
1.0
5.094 0.000 0.000
0.000 5.094 0.000
0.000 0.000 5.094
K Sb F
1 3 1
Direct
0.000 0.000 0.000 K
0.000 0.500 0.500 Sb
0.500 0.000 0.500 Sb
0.500 0.500 0.000 Sb
0.500 0.500 0.500 F
```

It is version A that is the least stable of them.

Version A
K2SbF6: relaxed, PBE.

POSCAR file:
```
K2SbF6
1.0
6.438 0.000 0.000
0.000 7.922 0.000
-3.662 0.000 6.763
K Sb F
4 2 12
Direct
0.175 0.041 0.309 K
0.175 0.459 0.809 K
0.825 0.541 0.191 K
0.825 0.959 0.691 K
0.500 0.000 0.000 Sb
0.500 0.500 0.500 Sb
0.208 0.141 0.957 F
0.208 0.359 0.457 F
0.276 0.704 0.419 F
0.276 0.796 0.919 F
0.417 0.032 0.709 F
0.417 0.468 0.209 F
0.583 0.532 0.791 F
0.583 0.968 0.291 F
0.724 0.204 0.081 F
0.724 0.296 0.581 F
0.792 0.641 0.543 F
0.792 0.859 0.043 F
```

Version B
K2SbF6: relaxed, PBE.

POSCAR file:
```
K2SbF6
1.0
6.080 0.000 0.000
-3.040 5.265 0.000
0.000 0.000 4.768
K Sb F
2 1 6
Direct
0.333 0.667 0.199 K
0.667 0.333 0.801 K
0.000 0.000 0.500 Sb
0.165 0.330 0.731 F
0.165 0.835 0.731 F
0.330 0.165 0.269 F
0.670 0.835 0.731 F
0.835 0.165 0.269 F
0.835 0.670 0.269 F
```

It is version B that is the least stable of them.

Version A
K2SbF: relaxed, PBE.

POSCAR file:
```
K2SbF
1.0
0.000 4.058 4.058
4.058 0.000 4.058
4.058 4.058 0.000
K Sb F
2 1 1
Direct
0.250 0.250 0.250 K
0.750 0.750 0.750 K
0.000 0.000 0.000 Sb
0.500 0.500 0.500 F
```

Version B
K2SbF: relaxed, PBE.

POSCAR file:
```
K2SbF
1.0
-3.885 3.885 4.516
3.885 -3.885 4.516
3.885 3.885 -4.516
K Sb F
4 2 2
Direct
0.011 0.625 0.886 K
0.375 0.261 0.386 K
0.739 0.125 0.114 K
0.875 0.989 0.614 K
0.250 0.750 0.500 Sb
0.500 0.500 0.000 Sb
0.000 0.000 0.000 F
0.750 0.250 0.500 F
```

It is version A that is the least stable of them.

Version A
K3SbF: relaxed, PBE.

POSCAR file:
```
K3SbF
1.0
3.745 2.162 6.457
-3.745 2.162 6.457
0.000 -4.325 6.457
K Sb F
6 2 2
Direct
0.090 0.090 0.568 K
0.090 0.568 0.090 K
0.432 0.910 0.910 K
0.568 0.090 0.090 K
0.910 0.432 0.910 K
0.910 0.910 0.432 K
0.421 0.421 0.421 Sb
0.579 0.579 0.579 Sb
0.162 0.162 0.162 F
0.838 0.838 0.838 F
```

Version B
K3SbF: relaxed, PBE.

POSCAR file:
```
K3SbF
1.0
5.400 0.000 0.000
0.000 5.400 0.000
0.000 0.000 5.400
K Sb F
3 1 1
Direct
0.000 0.000 0.500 K
0.000 0.500 0.000 K
0.500 0.000 0.000 K
0.500 0.500 0.500 Sb
0.000 0.000 0.000 F
```

It is version A that is the least stable of them.

Version A
KScF2: relaxed, PBE.

POSCAR file:
```
KScF2
1.0
1.855 1.071 7.026
-1.855 1.071 7.026
0.000 -2.142 7.026
K Sc F
1 1 2
Direct
0.000 0.000 0.000 K
0.500 0.500 0.500 Sc
0.405 0.405 0.405 F
0.595 0.595 0.595 F
```

Version B
KScF2: relaxed, PBE.

POSCAR file:
```
KScF2
1.0
-2.734 2.734 6.160
2.734 -2.734 6.160
2.734 2.734 -6.160
K Sc F
2 2 4
Direct
0.000 0.000 0.000 K
0.750 0.250 0.500 K
0.250 0.750 0.500 Sc
0.500 0.500 0.000 Sc
0.287 0.625 0.162 F
0.375 0.537 0.662 F
0.463 0.125 0.838 F
0.875 0.713 0.338 F
```

It is version B that is the least stable of them.

Version A
KSeF4: relaxed, PBE.

POSCAR file:
```
KSeF4
1.0
-3.336 3.336 3.027
3.336 -3.336 3.027
3.336 3.336 -3.027
K Se F
1 1 4
Direct
0.000 0.000 0.000 K
0.250 0.750 0.500 Se
0.046 0.546 0.092 F
0.046 0.954 0.500 F
0.454 0.546 0.500 F
0.454 0.954 0.908 F
```

Version B
KSeF4: relaxed, PBE.

POSCAR file:
```
KSeF4
1.0
5.505 0.000 0.000
0.000 5.804 0.000
0.000 0.000 6.717
K Se F
2 2 8
Direct
0.000 0.017 0.000 K
0.500 0.983 0.500 K
0.000 0.440 0.526 Se
0.500 0.560 0.026 Se
0.000 0.146 0.394 F
0.000 0.705 0.690 F
0.220 0.298 0.716 F
0.280 0.702 0.216 F
0.500 0.295 0.190 F
0.500 0.854 0.894 F
0.720 0.702 0.216 F
0.780 0.298 0.716 F
```

It is version B that is the least stable of them.